Density functional theory data (GGA+U) for a relaxed MnAsClF2 crystal.

Calculated values
* E_tot: -4.84 eV per atom

a = 3.9334 Å, b = 3.9334 Å, c = 5.7062 Å
α = 90.00°, β = 90.00°, γ = 90.00°
With the nearest neighbours (Å) after each atom.
Space group P4/mmm (No. 123)
One atom of each set of equivalent atoms:
Mn  0.0000  0.0000  0.0000 x1  4 F 1.97
As  0.0000  0.0000  0.5000 x1  4 Cl 2.78, 2 Mn 2.85
Cl  0.5000  0.5000  0.5000 x1  4 As 2.78
F  0.0000  0.5000  0.0000 x2  2 Mn 1.97